1.
The following is a DFT calculation (PBE-GGA) of a relaxed Ta5Mo2 crystal.

Lattice parameters (Å, degrees): 5.4450 5.4450 7.3261 81.50 81.50 34.75
Sites, in units of the cell vectors:
Ta  0.7080  0.7080  0.8537
Ta  0.4348  0.4348  0.7178
Ta  0.2946  0.2946  0.1352
Ta  0.8482  0.8482  0.4362
Ta  0.5714  0.5714  0.2857
Mo  0.0011  0.0011  0.0033
Mo  0.1417  0.1417  0.5681

Computed properties:
The calculation puts the energy of formation at -0.139 eV per atom. As for the space-group type: C2/m (12).

***

2.
The following is a DFT calculation (PBE-GGA) of a relaxed TaPIN2 crystal.

Lattice parameters (Å, degrees): 3.8510 3.8510 4.9858 90.00 90.00 90.00
Sites, in units of the cell vectors:
N  0.0000  0.5000  0.0000
N  0.5000  0.0000  0.0000
I  0.0000  0.0000  0.5000
P  0.0000  0.0000  0.0000
Ta  0.5000  0.5000  0.5000

Computed properties:
As for the space-group type: P4/mmm (123).

***

3.
The following is a DFT calculation (PBE-GGA) of a relaxed Ac6NdNi2 crystal.

Lattice parameters (Å, degrees): 10.2956 9.0481 9.0481 58.88 67.53 67.53
Sites, in units of the cell vectors:
Ac  0.3664  0.2622  0.4359
Ac  0.6532  0.0925  0.6636
Ac  0.5398  0.6556  0.0509
Ac  0.9602  0.9491  0.3444
Ac  0.8468  0.3364  0.9075
Ac  0.8664  0.4359  0.2622
Ac  0.4602  0.3444  0.9491
Ac  0.0398  0.0509  0.6556
Ac  0.3468  0.9075  0.3364
Ac  0.1336  0.5641  0.7378
Ac  0.6336  0.7378  0.5641
Ac  0.1532  0.6636  0.0925
Ni  0.1654  0.2685  0.1406
Ni  0.6654  0.1406  0.2685
Ni  0.8346  0.7315  0.8594
Ni  0.3346  0.8594  0.7315
Nd  0.2500  0.0829  0.9171
Nd  0.7500  0.9171  0.0829

Computed properties:
The calculation puts the energy of formation at -0.007 eV per atom. As for the space-group type: C2/c (15).

***

D(E_F) in states/eV/atom, matching the order above: 0.873, 0.904, 1.019
E_tot in eV/atom, matching the order above: -11.70, -5.30, -4.56